Entry 1:
This record from Alexandria via LeMat-Bulk describes an optimized crystal structure of NdTmHg2. The functional is GGA-PBE.

The space group is P4/mmm (No. 123) and the conventional cell measures 3.705, 3.705 and 7.719 Å, with angles of 90.00, 90.00 and 90.00 degrees. The asymmetric unit holds Nd at (0.000, 0.000, 0.000), Tm at (0.000, 0.000, 0.500) and Hg at (0.500, 0.500, 0.272).

The energy of formation is -0.477 eV/atom. As for the energy above the lowest structure with this stoichiometry: 0 meV/atom. The calculation puts the calculated total energy at -2.94 eV per atom.

---

Entry 2:
This record from Alexandria via LeMat-Bulk describes an optimized crystal structure of BaRe2Cl. The functional is GGA-PBE.

The space group is Imm2 (No. 44) and the conventional cell measures 3.630, 6.242 and 9.318 Å, with angles of 90.00, 90.00 and 90.00 degrees. The asymmetric unit holds Ba at (0.000, 0.000, 0.000), Re at (0.000, 0.000, 0.490), Re at (0.000, 0.500, 0.151) and Cl at (0.000, 0.500, 0.776).

The calculation puts the uncorrected formation energy at 0.571 eV/atom. As for the energy above the lowest structure with this stoichiometry: 458 meV/atom. The calculation puts the calculated total energy at -6.60 eV per atom.

---

Entry 3:
This record from Alexandria via LeMat-Bulk describes an optimized crystal structure of V2InCuH. The functional is GGA-PBE.

The space group is P4/mmm (No. 123) and the conventional cell measures 3.764, 3.764 and 4.346 Å, with angles of 90.00, 90.00 and 90.00 degrees. The asymmetric unit holds V at (0.000, 0.500, 0.000), In at (0.000, 0.000, 0.500), Cu at (0.500, 0.500, 0.500) and H at (0.500, 0.500, 0.000).

The calculation puts the calculated total energy at -5.66 eV per atom.

---

Entry 4:
This record from Alexandria via LeMat-Bulk describes an optimized crystal structure of TcAs2F. The functional is GGA-PBE.

The space group is Fm-3m (No. 225) and the conventional cell measures 6.199, 6.199 and 6.199 Å, with angles of 90.00, 90.00 and 90.00 degrees. The asymmetric unit holds Tc at (0.000, 0.000, 0.000), As at (0.250, 0.250, 0.250) and F at (0.000, 0.000, 0.500).

The calculation puts the uncorrected formation energy at -0.155 eV/atom. As for the energy above the lowest structure with this stoichiometry: 0 meV/atom. The calculation puts the calculated total energy at -5.54 eV per atom.

---

Entry 5:
This record from Alexandria via LeMat-Bulk describes an optimized crystal structure of NbCuPb3. The functional is GGA-PBE.

The space group is Pm-3m (No. 221) and the conventional cell measures 5.519, 5.519 and 5.519 Å, with angles of 90.00, 90.00 and 90.00 degrees. The asymmetric unit holds Nb at (0.000, 0.000, 0.000), Cu at (0.500, 0.500, 0.500) and Pb at (0.000, 0.000, 0.500).

The energy of formation is 0.801 eV/atom. As for the energy above the lowest structure with this stoichiometry: 0 meV/atom. The calculation puts the calculated total energy at -4.26 eV per atom.

---

Entry 6:
This record from Alexandria via LeMat-Bulk describes an optimized crystal structure of CeMgSi. The functional is GGA-PBE.

The space group is I4mm (No. 107) and the conventional cell measures 3.273, 3.273 and 12.445 Å, with angles of 90.00, 90.00 and 90.00 degrees. The asymmetric unit holds Ce at (0.000, 0.000, 0.000), Mg at (0.000, 0.000, 0.710) and Si at (0.000, 0.000, 0.341).

The calculation puts the uncorrected formation energy at -0.135 eV/atom. The calculation puts the calculated total energy at -4.45 eV per atom.

---

Entry 7:
This record from Alexandria via LeMat-Bulk describes an optimized crystal structure of NaZnF3. The functional is GGA-PBE.

The space group is P2_13 (No. 198) and the conventional cell measures 6.372, 6.372 and 6.372 Å, with angles of 90.00, 90.00 and 90.00 degrees. The asymmetric unit holds Na at (0.125, 0.375, 0.625), Zn at (0.097, 0.903, 0.403) and F at (0.016, 0.705, 0.155).

The calculation puts the uncorrected formation energy at -2.481 eV/atom. The calculation puts the calculated total energy at -4.12 eV per atom.

---

Entry 8:
This record from Alexandria via LeMat-Bulk describes an optimized crystal structure of Ho2AsS. The functional is GGA-PBE.

The space group is R-3m (No. 166, hexagonal axes) and the conventional cell measures 4.0099, 4.0099 and 19.4704 Å, with angles of 90.00, 90.00 and 120.00 degrees. The asymmetric unit holds Ho at (0.0000, 0.0000, 0.2493), As at (0.0000, 0.0000, 0.0000) and S at (0.0000, 0.0000, 0.5000).

The calculation puts the uncorrected formation energy at -1.777 eV/atom. As for the energy above the lowest structure with this stoichiometry: 4 meV/atom. The calculation puts the calculated total energy at -6.26 eV per atom.

---

Entry 9:
This record from Alexandria via LeMat-Bulk describes an optimized crystal structure of Na2AcDyS4. The functional is GGA-PBE.

The space group is P2/m (No. 10) and the conventional cell measures 7.120, 4.176 and 7.260 Å, with angles of 90.00, 109.85 and 90.00 degrees. The asymmetric unit holds Na at (0.000, 0.000, 0.000), Na at (0.000, 0.500, 0.500), Ac at (0.500, 0.000, 0.500), Dy at (0.500, 0.500, 0.000), S at (0.263, 0.500, 0.235) and S at (0.271, 0.000, 0.773).

The calculation puts the uncorrected formation energy at -1.807 eV/atom. The calculation puts the calculated total energy at -5.29 eV per atom.

---

Entry 10:
This record from Alexandria via LeMat-Bulk describes an optimized crystal structure of Tl4HgPb7. The functional is GGA-PBE.

The space group is P-3m1 (No. 164) and the conventional cell measures 3.4861, 3.4861 and 35.3347 Å, with angles of 90.00, 90.00 and 120.00 degrees. The asymmetric unit holds Tl at (0.3333, 0.6667, 0.1622), Tl at (0.3333, 0.6667, 0.4152), Hg at (0.0000, 0.0000, 0.0000), Pb at (0.0000, 0.0000, 0.2470), Pb at (0.0000, 0.0000, 0.5000), Pb at (0.3333, 0.6667, 0.6693) and Pb at (0.3333, 0.6667, 0.9224).

The energy of formation is 0.012 eV/atom. The calculation puts the calculated total energy at -2.97 eV per atom.

---

Entry 11:
This record from Alexandria via LeMat-Bulk describes an optimized crystal structure of RuPtSe2. The functional is GGA-PBE.

The space group is C2/m (No. 12) and the conventional cell measures 13.104, 2.892 and 4.771 Å, with angles of 90.00, 94.50 and 90.00 degrees. The asymmetric unit holds Ru at (0.000, 0.000, 0.000), Pt at (0.000, 0.500, 0.500) and Se at (0.144, 0.500, 0.201).

The calculation puts the uncorrected formation energy at -0.012 eV/atom. As for the energy above the lowest structure with this stoichiometry: 66 meV/atom. The calculation puts the calculated total energy at -5.58 eV per atom.

---

Entry 12:
This record from Alexandria via LeMat-Bulk describes an optimized crystal structure of BiAsCl2. The functional is GGA-PBE.

The space group is I-42d (No. 122) and the conventional cell measures 4.519, 4.519 and 19.320 Å, with angles of 90.00, 90.00 and 90.00 degrees. The asymmetric unit holds Bi at (0.000, 0.000, 0.000), As at (0.000, 0.000, 0.500) and Cl at (0.245, 0.250, 0.625).

The calculation puts the uncorrected formation energy at -0.160 eV/atom. As for the energy above the lowest structure with this stoichiometry: 4 meV/atom. The calculation puts the calculated total energy at -3.22 eV per atom.

---

Entry 13:
This record from Alexandria via LeMat-Bulk describes an optimized crystal structure of Cs2Rb2Au. The functional is GGA-PBE.

The space group is R-3m (No. 166, hexagonal axes) and the conventional cell measures 5.1676, 5.1676 and 49.9750 Å, with angles of 90.00, 90.00 and 120.00 degrees. The asymmetric unit holds Cs at (0.0000, 0.0000, 0.1262), Rb at (0.0000, 0.0000, 0.3742) and Au at (0.0000, 0.0000, 0.5000).

The energy of formation is -0.143 eV/atom. As for the energy above the lowest structure with this stoichiometry: 0 meV/atom. The calculation puts the calculated total energy at -1.53 eV per atom.

---

Entry 14:
This record from Alexandria via LeMat-Bulk describes an optimized crystal structure of Y3TeSe3. The functional is GGA-PBE.

The space group is I4_132 (No. 214) and the conventional cell measures 11.832, 11.832 and 11.832 Å, with angles of 90.00, 90.00 and 90.00 degrees. The asymmetric unit holds Y at (0.113, 0.125, 0.863), Te at (0.125, 0.125, 0.125) and Se at (0.120, 0.375, 0.370).

The calculation puts the uncorrected formation energy at -1.729 eV/atom. As for the energy above the lowest structure with this stoichiometry: 0 meV/atom. The calculation puts the calculated total energy at -6.44 eV per atom.

---

Entry 15:
This record from Alexandria via LeMat-Bulk describes an optimized crystal structure of LaInTe. The functional is GGA-PBE.

The space group is F-43m (No. 216) and the conventional cell measures 7.523, 7.523 and 7.523 Å, with angles of 90.00, 90.00 and 90.00 degrees. The asymmetric unit holds La at (0.000, 0.000, 0.000), In at (0.000, 0.000, 0.500) and Te at (0.250, 0.250, 0.250).

The calculation puts the uncorrected formation energy at -0.589 eV/atom. The calculation puts the calculated total energy at -4.19 eV per atom.

---

Entry 16:
This record from Alexandria via LeMat-Bulk describes an optimized crystal structure of PrBiI2. The functional is GGA-PBE.

The space group is R-3m (No. 166, hexagonal axes) and the conventional cell measures 3.9566, 3.9566 and 33.9214 Å, with angles of 90.00, 90.00 and 120.00 degrees. The asymmetric unit holds Pr at (0.0000, 0.0000, 0.0000), Bi at (0.0000, 0.0000, 0.5000) and I at (0.0000, 0.0000, 0.3993).

The calculation puts the uncorrected formation energy at -0.637 eV/atom. The calculation puts the calculated total energy at -3.58 eV per atom.

---

Entry 17:
This record from Alexandria via LeMat-Bulk describes an optimized crystal structure of MnMo2Ru. The functional is GGA-PBE.

The space group is R3m (No. 160, hexagonal axes) and the conventional cell measures 2.7406, 2.7406 and 27.3351 Å, with angles of 90.00, 90.00 and 120.00 degrees. The asymmetric unit holds Mn at (0.0000, 0.0000, 0.0000), Mo at (0.0000, 0.0000, 0.5067), Mo at (0.0000, 0.0000, 0.7488) and Ru at (0.0000, 0.0000, 0.2540).

The energy of formation is 0.246 eV/atom. As for the energy above the lowest structure with this stoichiometry: 178 meV/atom. The calculation puts the calculated total energy at -9.78 eV per atom.

---

Entry 18:
This record from Alexandria via LeMat-Bulk describes an optimized crystal structure of FeAsRuRh. The functional is GGA-PBE.

The space group is F-43m (No. 216) and the conventional cell measures 6.053, 6.053 and 6.053 Å, with angles of 90.00, 90.00 and 90.00 degrees. The asymmetric unit holds Fe at (0.000, 0.000, 0.000), As at (0.000, 0.000, 0.500), Ru at (0.250, 0.250, 0.750) and Rh at (0.250, 0.250, 0.250).

The energy of formation is -0.017 eV/atom. The calculation puts the calculated total energy at -7.45 eV per atom.

---

Entry 19:
This record from Alexandria via LeMat-Bulk describes an optimized crystal structure of Pr8P3CS4. The functional is GGA-PBE.

The space group is R-3m (No. 166, hexagonal axes) and the conventional cell measures 8.2275, 8.2275 and 20.2912 Å, with angles of 90.00, 90.00 and 120.00 degrees. The asymmetric unit holds Pr at (0.0000, 0.0000, 0.2478), Pr at (0.0168, 0.5084, 0.2440), P at (0.0000, 0.5000, 0.5000), C at (0.0000, 0.0000, 0.5000), S at (0.0000, 0.0000, 0.0000) and S at (0.0000, 0.5000, 0.0000).

The calculation puts the uncorrected formation energy at -1.633 eV/atom. The calculation puts the calculated total energy at -6.65 eV per atom.

---

Entry 20:
This record from Alexandria via LeMat-Bulk describes an optimized crystal structure of Ba17Ca2. The functional is GGA-PBE.

The space group is R-3m (No. 166, hexagonal axes) and the conventional cell measures 13.9659, 13.9659 and 22.2684 Å, with angles of 90.00, 90.00 and 120.00 degrees. The asymmetric unit holds Ba at (0.0000, 0.0000, 0.0932), Ba at (0.0000, 0.3221, 0.0000), Ba at (0.0000, 0.5000, 0.5000), Ba at (0.0014, 0.5007, 0.1585) and Ca at (0.0000, 0.0000, 0.2856).

The energy of formation is 0.163 eV/atom. The calculation puts the calculated total energy at -1.77 eV per atom.

---

no.,magnetic moment (μB/atom)
1,0.117
2,0.001
3,0.000
4,0.407
5,0.000
6,0.314
7,0.000
8,0.000
9,0.000
10,0.000
11,0.000
12,0.000
13,0.000
14,0.000
15,0.000
16,0.000
17,0.702
18,0.980
19,0.000
20,0.000